ScCr2Si: optimized geometry, PBE.

Results
The calculation puts the formation energy (no corrections) at -0.0524 eV per atom. The density of states at the Fermi level comes out at 3.393 states/eV/f.u.

The structure in CIF format:
```
data_ScCr2Si
_cell_length_a 4.271
_cell_length_b 4.271
_cell_length_c 4.271
_cell_angle_alpha 120.09
_cell_angle_beta 120.09
_cell_angle_gamma 89.84
_symmetry_space_group_name_H-M 'P 1'
_symmetry_Int_Tables_number 1
loop_
_symmetry_equiv_pos_as_xyz
'x,y,z'
loop_
_atom_site_label
_atom_site_type_symbol
_atom_site_fract_x
_atom_site_fract_y
_atom_site_fract_z
Cr1 Cr 0.000 0.000 0.000
Cr2 Cr 0.250 0.750 0.500
Sc1 Sc 0.500 0.500 0.000
Si1 Si 0.750 0.250 0.500
```